(1)
This record from Alexandria describes a relaxed structure of Rb2SiHgO4. The functional is PBE-GGA.

Properties
Electronic total energy: -5.0591 eV/atom
E_form (uncorrected): -12.980 eV/f.u.
Spin magnetization: 0.00 μB/f.u.

abc: 5.6261 11.9312 21.3992
angles: 90.00 90.00 90.00
Space group Fddd (No. 70, origin choice 2)
One atom of each set of equivalent atoms:
1 Rb 0.1250 0.1250 0.3053 (multiplicity 16)
2 Si 0.1250 0.1250 0.6250 (multiplicity 8)
3 Hg 0.1250 0.1250 0.1250 (multiplicity 8)
4 O 0.0520 0.2915 0.8330 (multiplicity 32)

---

(2)
This record from Alexandria describes a relaxed structure of Rb2SnHgO4. The functional is PBE-GGA.

Properties
Electronic total energy: -4.4875 eV/atom
E_form (uncorrected): -9.827 eV/f.u.
Spin magnetization: 0.00 μB/f.u.

abc: 8.6398 8.0590 6.2651
angles: 90.00 131.46 90.00
Space group C2 (No. 5)
One atom of each set of equivalent atoms:
1 Rb 0.0000 0.0000 0.0000 (multiplicity 2)
2 Rb 0.0000 0.2342 0.5000 (multiplicity 2)
3 Sn 0.0000 0.7103 0.5000 (multiplicity 2)
4 Hg 0.0000 0.5130 0.0000 (multiplicity 2)
5 O 0.1492 0.5530 0.4326 (multiplicity 4)
6 O 0.2148 0.8173 0.8697 (multiplicity 4)

---

(3)
This record from Alexandria describes a relaxed structure of RbSrHgO2. The functional is PBE-GGA.

Properties
Electronic total energy: -3.8546 eV/atom
E_form (uncorrected): -6.406 eV/f.u.
Spin magnetization: 0.00 μB/f.u.

abc: 7.4776 6.5378 7.2148
angles: 90.00 107.35 90.00
Space group P2/c (No. 13)
One atom of each set of equivalent atoms:
1 Rb 0.0000 0.1995 0.2500 (multiplicity 2)
2 Sr 0.5000 0.4908 0.7500 (multiplicity 2)
3 Hg 0.5000 0.0000 0.0000 (multiplicity 2)
4 O 0.3634 0.2955 0.4514 (multiplicity 4)

---

(4)
This record from Alexandria describes a relaxed structure of RbTaHgO4. The functional is PBE-GGA.

Properties
Electronic total energy: -6.4848 eV/atom
E_form (uncorrected): -12.438 eV/f.u.
Spin magnetization: 0.00 μB/f.u.

abc: 6.0428 6.6880 7.6677
angles: 90.00 105.73 90.00
Space group P2_1/m (No. 11)
One atom of each set of equivalent atoms:
1 Rb 0.2035 0.2500 0.4437 (multiplicity 2)
2 Ta 0.2350 0.7500 0.1695 (multiplicity 2)
3 Hg 0.3662 0.2500 0.0085 (multiplicity 2)
4 O 0.0067 0.2500 0.0450 (multiplicity 2)
5 O 0.1303 0.7500 0.3707 (multiplicity 2)
6 O 0.4461 0.5337 0.1847 (multiplicity 4)

---

(5)
This record from Alexandria describes a relaxed structure of RbTcHgO4. The functional is PBE-GGA.

Properties
Electronic total energy: -5.8786 eV/atom
E_form (uncorrected): -9.682 eV/f.u.
Spin magnetization: 0.00 μB/f.u.

abc: 7.4460 6.3746 9.2603
angles: 90.00 112.89 90.00
Space group P2_1/m (No. 11)
One atom of each set of equivalent atoms:
1 Rb 0.2225 0.2500 0.3901 (multiplicity 2)
2 Tc 0.2952 0.7500 0.6491 (multiplicity 2)
3 Hg 0.0811 0.2500 0.9374 (multiplicity 2)
4 O 0.0918 0.7500 0.4715 (multiplicity 2)
5 O 0.2116 0.7500 0.7999 (multiplicity 2)
6 O 0.4366 0.5286 0.6571 (multiplicity 4)

---

(6)
This record from Alexandria describes a relaxed structure of RbTc2HgO8. The functional is PBE-GGA.

Properties
Electronic total energy: -6.4584 eV/atom
E_form (uncorrected): -15.833 eV/f.u.
Spin magnetization: 0.00 μB/f.u.

abc: 11.3242 6.1126 7.2788
angles: 90.00 113.75 90.00
Space group C2/m (No. 12)
One atom of each set of equivalent atoms:
1 Rb 0.0000 0.0000 0.0000 (multiplicity 2)
2 Tc 0.2119 0.0000 0.6825 (multiplicity 4)
3 Hg 0.0000 0.5000 0.5000 (multiplicity 2)
4 O 0.1200 0.5000 0.2152 (multiplicity 4)
5 O 0.1501 0.2350 0.7523 (multiplicity 8)
6 O 0.1574 0.0000 0.4225 (multiplicity 4)

---

(7)
This record from Alexandria describes a relaxed structure of Rb3Tc2HgO8. The functional is PBE-GGA.

Properties
Electronic total energy: -6.0683 eV/atom
E_form (uncorrected): -21.354 eV/f.u.
Spin magnetization: 1.11 μB/f.u.

abc: 6.2878 6.2878 10.0872
angles: 90.00 90.00 120.00
Space group P-3m1 (No. 164)
One atom of each set of equivalent atoms:
1 Rb 0.0000 0.0000 0.0000 (multiplicity 1)
2 Rb 0.3333 0.6667 0.7151 (multiplicity 2)
3 Tc 0.3333 0.6667 0.1638 (multiplicity 2)
4 Hg 0.0000 0.0000 0.5000 (multiplicity 1)
5 O 0.1810 0.3619 0.2241 (multiplicity 6)
6 O 0.3333 0.6667 0.9887 (multiplicity 2)

---

(8)
This record from Alexandria describes a relaxed structure of RbTi2HgO6. The functional is PBE-GGA.

Properties
Electronic total energy: -6.6897 eV/atom
E_form (uncorrected): -20.088 eV/f.u.
Spin magnetization: 1.05 μB/f.u.

abc: 9.8826 12.1816 6.4293
angles: 90.00 110.99 90.00
Space group C2/c (No. 15)
One atom of each set of equivalent atoms:
1 Rb 0.0000 0.0927 0.2500 (multiplicity 4)
2 Ti 0.1473 0.4263 0.1775 (multiplicity 8)
3 Hg 0.0000 0.2558 0.7500 (multiplicity 4)
4 O 0.0858 0.2842 0.0862 (multiplicity 8)
5 O 0.1182 0.4722 0.4425 (multiplicity 8)
6 O 0.1642 0.0973 0.7273 (multiplicity 8)

---

(9)
This record from Alexandria describes a relaxed structure of Rb2TiHgO4. The functional is PBE-GGA.

Properties
Electronic total energy: -5.4183 eV/atom
E_form (uncorrected): -13.382 eV/f.u.
Spin magnetization: 0.00 μB/f.u.

abc: 5.5382 12.4775 21.2659
angles: 90.00 90.00 90.00
Space group Fddd (No. 70, origin choice 2)
One atom of each set of equivalent atoms:
1 Rb 0.1250 0.1250 0.3027 (multiplicity 16)
2 Ti 0.1250 0.1250 0.6250 (multiplicity 8)
3 Hg 0.1250 0.1250 0.1250 (multiplicity 8)
4 O 0.0694 0.2850 0.8274 (multiplicity 32)

---

(10)
This record from Alexandria describes a relaxed structure of RbTiHg2O4. The functional is PBE-GGA.

Properties
Electronic total energy: -5.1200 eV/atom
E_form (uncorrected): -11.661 eV/f.u.
Spin magnetization: 0.00 μB/f.u.

abc: 6.0573 6.0573 7.8457
angles: 90.00 90.00 90.00
Space group I-42m (No. 121)
One atom of each set of equivalent atoms:
1 Rb 0.0000 0.0000 0.0000 (multiplicity 2)
2 Ti 0.0000 0.0000 0.5000 (multiplicity 2)
3 Hg 0.0000 0.5000 0.2500 (multiplicity 4)
4 O 0.1769 0.1769 0.6360 (multiplicity 8)

---

(11)
This record from Alexandria describes a relaxed structure of RbTl2HgO. The functional is PBE-GGA.

Properties
Electronic total energy: -2.5414 eV/atom
E_form (uncorrected): -1.747 eV/f.u.
Spin magnetization: 0.00 μB/f.u.

abc: 7.2184 7.2184 11.3662
angles: 90.00 90.00 90.00
Space group I4cm (No. 108)
One atom of each set of equivalent atoms:
1 Rb 0.0000 0.0000 0.0000 (multiplicity 4)
2 Tl 0.1895 0.3105 0.2353 (multiplicity 8)
3 Hg 0.0000 0.5000 0.4838 (multiplicity 4)
4 O 0.0000 0.0000 0.2608 (multiplicity 4)

---

(12)
This record from Alexandria describes a relaxed structure of Rb2TlHgO. The functional is PBE-GGA.

Properties
Electronic total energy: -2.3946 eV/atom
E_form (uncorrected): -2.412 eV/f.u.
Spin magnetization: 0.00 μB/f.u.

abc: 5.6609 5.6609 5.2361
angles: 90.00 90.00 90.00
Space group P4/mmm (No. 123)
One atom of each set of equivalent atoms:
1 Rb 0.0000 0.5000 0.0000 (multiplicity 2)
2 Tl 0.0000 0.0000 0.5000 (multiplicity 1)
3 Hg 0.5000 0.5000 0.5000 (multiplicity 1)
4 O 0.0000 0.0000 0.0000 (multiplicity 1)